[1]
# Pr4P2Cl | Alexandria via LeMat-Bulk | PBE | relaxed
data_Pr4P2Cl
_chemical_formula_sum 'Pr4 P2 Cl1'
_cell_length_a 7.199
_cell_length_b 4.134
_cell_length_c 7.201
_cell_angle_alpha 90.00
_cell_angle_beta 109.08
_cell_angle_gamma 90.00
_symmetry_space_group_name_H-M 'P 1 2/m 1'
_symmetry_Int_Tables_number 10
loop_
_symmetry_equiv_pos_as_xyz
'x,y,z'
'-x,-y,-z'
'-x,y,-z'
'x,-y,z'
loop_
_atom_site_label
_atom_site_type_symbol
_atom_site_fract_x
_atom_site_fract_y
_atom_site_fract_z
_atom_site_occupancy
Pr1 Pr 0.230 0.000 0.241 1
Pr2 Pr 0.236 0.500 0.748 1
P1 P 0.000 0.000 0.500 1
P2 P 0.000 0.500 0.000 1
Cl1 Cl 0.500 0.500 0.500 1
# Volume (A^3/atom): 28.9
# Energy relative to the elements, uncorrected (eV per formula unit): -9.47


[2]
# Rb5Na6Hg | Alexandria via LeMat-Bulk | PBE | relaxed
data_Rb5Na6Hg
_chemical_formula_sum 'Rb10 Na12 Hg2'
_cell_length_a 7.936
_cell_length_b 18.142
_cell_length_c 10.125
_cell_angle_alpha 90.00
_cell_angle_beta 109.46
_cell_angle_gamma 90.00
_symmetry_space_group_name_H-M 'C 1 2/m 1'
_symmetry_Int_Tables_number 12
loop_
_symmetry_equiv_pos_as_xyz
'x,y,z'
'-x,-y,-z'
'-x,y,-z'
'x,-y,z'
'x+1/2,y+1/2,z'
'-x+1/2,-y+1/2,-z'
'-x+1/2,y+1/2,-z'
'x+1/2,-y+1/2,z'
loop_
_atom_site_label
_atom_site_type_symbol
_atom_site_fract_x
_atom_site_fract_y
_atom_site_fract_z
_atom_site_occupancy
Rb1 Rb 0.000 0.000 0.000 1
Rb2 Rb 0.000 0.299 0.000 1
Rb3 Rb 0.000 0.370 0.500 1
Na1 Na 0.039 0.149 0.678 1
Na2 Na 0.142 0.500 0.209 1
Hg1 Hg 0.000 0.000 0.500 1
# Volume (A^3/atom): 57.3
# Energy relative to the elements (eV per atom): 0.012